1.
Below is a relaxed structure of PuZr2NpAs4, with properties calculated at the PBE-GGA level.

```
PuZr2NpAs4
1.0
3.977 0.000 0.000
0.000 6.911 0.132
0.000 -2.405 6.476
As Zr Pu Np
4 2 1 1
Direct
0.500 0.255 0.264
0.500 0.745 0.736
0.000 0.247 0.736
0.000 0.753 0.264
0.000 0.500 0.500
0.500 0.000 0.500
0.000 0.000 0.000
0.500 0.500 0.000
```

Energy of formation from the pure elements   -1.033 eV/atom
Space-group type   P2/m (10)
Calculated volume   179 Å³/cell
Total moment   1.40 μB/f.u.

=====

2.
Below is a relaxed structure of RbNpAs2, with properties calculated at the PBE-GGA level.

```
RbNpAs2
1.0
-3.475 1.709 0.234
-1.671 -3.466 0.500
0.833 0.673 7.455
Rb Np As
1 1 2
Direct
0.500 0.500 0.500
0.500 0.500 0.000
0.000 0.000 0.170
0.000 0.000 0.830
```

Energy above the lowest structure with this stoichiometry   3.3 meV per atom
Energy of formation from the pure elements   -0.419 eV/atom
Space-group type   P4/mmm (123)
Calculated volume   113 Å³/cell
Total moment   3.86 μB/f.u.

=====

3.
Below is a relaxed structure of RbNpAs2, with properties calculated at the PBE-GGA level.

```
RbNpAs2
1.0
4.272 0.000 0.000
2.136 3.700 0.000
2.136 1.233 8.004
As Np Rb
2 1 1
Direct
0.276 0.276 0.171
0.058 0.058 0.825
0.667 0.667 0.998
0.498 0.498 0.506
```

Energy above the lowest structure with this stoichiometry   20.7 meV per atom
Energy of formation from the pure elements   -0.402 eV/atom
Space-group type   R3m (160)
Calculated volume   127 Å³/cell
Total moment   1.96 μB/f.u.

=====

4.
Below is a relaxed structure of RbNpAs2, with properties calculated at the PBE-GGA level.

```
RbNpAs2
1.0
4.287 0.000 0.000
2.144 3.713 0.000
2.144 1.238 7.886
As Rb Np
2 1 1
Direct
0.724 0.724 0.827
0.276 0.276 0.173
0.500 0.500 0.500
0.000 0.000 0.000
```

Energy above the lowest structure with this stoichiometry   0.0 meV per atom
Energy of formation from the pure elements   -0.422 eV/atom
Space-group type   R-3m (166)
Calculated volume   126 Å³/cell
Total moment   1.96 μB/f.u.

=====

5.
Below is a relaxed structure of RbNpAs, with properties calculated at the PBE-GGA level.

```
RbNpAs
1.0
-4.175 -0.360 0.641
1.428 -4.802 -7.412
1.526 0.818 10.399
Rb Np As
2 2 2
Direct
0.691 0.383 0.275
0.309 0.617 0.725
0.382 0.764 0.243
0.618 0.236 0.757
0.936 0.872 0.140
0.064 0.128 0.860
```

Energy of formation from the pure elements   -0.092 eV/atom
Space-group type   C2/m (12)
Calculated volume   198 Å³/cell
Total moment   5.00 μB/f.u.

=====

6.
Below is a relaxed structure of Rb2NpAsS4, with properties calculated at the PBE-GGA level.

```
Rb2NpAsS4
1.0
-2.256 -6.555 -4.584
-1.707 -4.292 6.909
-4.244 7.025 -1.180
S As Rb Np
8 2 4 2
Direct
0.740 0.694 0.500
0.226 0.677 0.434
0.177 0.726 0.934
0.260 0.306 0.500
0.774 0.323 0.566
0.194 0.240 0.000
0.806 0.760 0.000
0.823 0.274 0.066
0.500 0.500 0.500
0.000 0.000 0.000
0.500 0.000 0.000
0.500 0.500 0.000
0.500 0.000 0.500
0.000 0.000 0.500
0.000 0.500 0.000
0.000 0.500 0.500
```

E_tot   -5.3604 eV/atom
Space-group type   C2/c (15)
Calculated volume   442 Å³/cell
Total moment   3.25 μB/f.u.

=====

7.
Below is a relaxed structure of RbNpAs2S8, with properties calculated at the PBE-GGA level.

```
RbNpAs2S8
1.0
6.306 0.000 0.000
3.153 5.461 0.000
3.153 1.820 10.095
S As Rb Np
8 2 1 1
Direct
0.386 0.704 0.852
0.296 0.942 0.148
0.942 0.614 0.148
0.704 0.058 0.852
0.058 0.386 0.852
0.810 0.810 0.569
0.614 0.296 0.148
0.190 0.190 0.431
0.259 0.259 0.223
0.741 0.741 0.777
0.500 0.500 0.500
0.000 0.000 0.000
```

E_tot   -5.0818 eV/atom
Space-group type   R-3 (148)
Calculated volume   348 Å³/cell
Total moment   2.00 μB/f.u.

=====

8.
Below is a relaxed structure of Rb2NpAsSe5, with properties calculated at the PBE-GGA level.

```
Rb2NpAsSe5
1.0
-3.295 -1.967 -2.141
7.465 -6.664 -0.859
-4.303 -6.434 12.533
Se Rb As Np
10 4 2 2
Direct
0.941 0.882 0.540
0.320 0.641 0.403
0.504 0.008 0.782
0.330 0.660 0.999
0.296 0.591 0.650
0.670 0.340 0.499
0.704 0.409 0.150
0.680 0.359 0.903
0.059 0.118 0.040
0.496 0.992 0.282
0.115 0.230 0.672
0.133 0.265 0.320
0.885 0.770 0.172
0.867 0.735 0.820
0.446 0.893 0.426
0.554 0.107 0.926
0.199 0.398 0.032
0.801 0.602 0.532
```

E_tot   -4.9287 eV/atom
Space-group type   Cmc2_1 (36)
Calculated volume   634 Å³/cell
Total moment   2.03 μB/f.u.

=====

9.
Below is a relaxed structure of Rb3Np2Te6As, with properties calculated at the PBE-GGA level.

```
Rb3Np2Te6As
1.0
7.900 -0.002 -0.002
-3.950 6.842 -0.002
-1.319 -2.285 8.442
Rb Np Te As
3 2 6 1
Direct
0.831 0.169 0.500
0.169 0.831 0.500
0.500 0.500 0.500
0.666 0.334 0.000
0.334 0.666 0.000
0.936 0.618 0.808
0.254 0.254 0.807
0.064 0.382 0.192
0.382 0.064 0.192
0.746 0.746 0.193
0.618 0.936 0.808
0.000 0.000 0.000
```

E_tot   -5.0493 eV/atom
Space-group type   C2/m (12)
Calculated volume   456 Å³/cell
Total moment   8.00 μB/f.u.

=====

10.
Below is a relaxed structure of NpReAs, with properties calculated at the PBE-GGA level.

```
NpReAs
1.0
3.878 0.000 0.000
0.000 3.878 0.000
0.000 0.000 8.022
Np Re As
2 2 2
Direct
0.500 0.000 0.715
0.000 0.500 0.285
0.500 0.000 0.040
0.000 0.500 0.960
0.500 0.000 0.363
0.000 0.500 0.637
```

Energy of formation from the pure elements   0.098 eV/atom
Space-group type   P4/nmm (129)
Calculated volume   121 Å³/cell
Total moment   3.16 μB/f.u.

=====

11.
Below is a relaxed structure of NpReAs4, with properties calculated at the PBE-GGA level.

```
NpReAs4
1.0
6.246 0.000 -1.250
0.000 6.785 0.000
-1.178 0.000 6.359
As Re Np
8 2 2
Direct
0.541 0.114 0.875
0.459 0.886 0.125
0.959 0.614 0.125
0.357 0.361 0.477
0.857 0.139 0.477
0.143 0.861 0.523
0.643 0.639 0.523
0.041 0.386 0.875
0.500 0.000 0.500
0.000 0.500 0.500
0.000 0.000 0.000
0.500 0.500 0.000
```

Energy of formation from the pure elements   0.042 eV/atom
Space-group type   P2_1/c (14)
Calculated volume   259 Å³/cell
Total moment   3.88 μB/f.u.

=====

12.
Below is a relaxed structure of NpAsRh3, with properties calculated at the PBE-GGA level.

```
NpAsRh3
1.0
6.070 0.182 0.139
2.314 5.615 0.139
2.314 1.600 5.384
Rh Np As
6 2 2
Direct
0.579 0.882 0.373
0.079 0.873 0.382
0.882 0.373 0.579
0.873 0.382 0.079
0.382 0.079 0.873
0.373 0.579 0.882
0.944 0.944 0.944
0.444 0.444 0.444
0.740 0.740 0.740
0.240 0.240 0.240
```

Energy of formation from the pure elements   -0.273 eV/atom
Space-group type   R3c (161)
Calculated volume   179 Å³/cell
Total moment   2.90 μB/f.u.

=====

13.
Below is a relaxed structure of Np2As4Rh, with properties calculated at the PBE-GGA level.

```
Np2As4Rh
1.0
4.032 0.000 0.000
0.000 4.032 0.000
0.000 0.000 8.977
Np As Rh
2 4 1
Direct
0.000 0.500 0.247
0.500 0.000 0.753
0.000 0.000 0.500
0.000 0.500 0.841
0.500 0.000 0.159
0.500 0.500 0.500
0.500 0.500 0.000
```

Energy of formation from the pure elements   -0.501 eV/atom
Space-group type   P-4m2 (115)
Calculated volume   146 Å³/cell
Total moment   6.58 μB/f.u.

=====

14.
Below is a relaxed structure of NpAsRh2, with properties calculated at the PBE-GGA level.

```
NpAsRh2
1.0
4.338 0.000 0.000
0.000 5.761 0.000
-0.115 -2.881 2.967
Rh Np As
2 1 1
Direct
0.016 0.239 0.478
0.984 0.761 0.522
0.500 0.500 0.000
0.500 0.000 0.000
```

Energy of formation from the pure elements   -0.265 eV/atom
Space-group type   C2/m (12)
Calculated volume   74 Å³/cell
Total moment   2.54 μB/f.u.

=====

15.
Below is a relaxed structure of NpAs4Rh6, with properties calculated at the PBE-GGA level.

```
NpAs4Rh6
1.0
3.861 0.000 0.000
0.000 6.283 -3.628
0.000 0.000 7.255
Rh As Np
6 4 1
Direct
0.500 0.198 0.802
0.000 0.533 0.467
0.500 0.198 0.397
0.000 0.933 0.467
0.500 0.603 0.802
0.000 0.533 0.067
0.500 0.810 0.190
0.500 0.380 0.190
0.500 0.810 0.620
0.000 0.333 0.667
0.000 0.000 0.000
```

Energy of formation from the pure elements   -0.539 eV/atom
Space-group type   P-6m2 (187)
Calculated volume   176 Å³/cell
Total moment   4.05 μB/f.u.

=====

16.
Below is a relaxed structure of NpAs2Rh, with properties calculated at the PBE-GGA level.

```
NpAs2Rh
1.0
-3.516 0.406 -0.604
0.589 -1.250 -4.267
-0.693 -4.278 1.157
As Rh Np
2 1 1
Direct
0.000 0.500 0.000
0.000 0.000 0.500
0.500 0.500 0.500
0.500 0.000 0.000
```

Energy of formation from the pure elements   -0.383 eV/atom
Space-group type   P4/mmm (123)
Calculated volume   72 Å³/cell
Total moment   2.85 μB/f.u.

=====

17.
Below is a relaxed structure of Np2As3Rh5, with properties calculated at the PBE-GGA level.

```
Np2As3Rh5
1.0
4.106 0.000 -0.699
0.000 6.608 0.000
0.041 0.000 12.646
Rh As Np
10 6 4
Direct
0.723 0.974 0.446
0.123 0.259 0.246
0.877 0.759 0.754
0.605 0.911 0.210
0.703 0.392 0.406
0.277 0.474 0.554
0.942 0.123 0.885
0.058 0.623 0.115
0.395 0.411 0.790
0.297 0.892 0.594
0.390 0.008 0.779
0.950 0.505 0.901
0.610 0.508 0.221
0.050 0.005 0.099
0.221 0.174 0.441
0.779 0.674 0.559
0.825 0.237 0.651
0.486 0.782 0.972
0.175 0.737 0.349
0.514 0.282 0.028
```

Energy of formation from the pure elements   -0.490 eV/atom
Space-group type   Cmc2_1 (36)
Calculated volume   343 Å³/cell
Total moment   6.85 μB/f.u.

=====

18.
Below is a relaxed structure of NpAs2Rh3, with properties calculated at the PBE-GGA level.

```
NpAs2Rh3
1.0
-0.213 3.368 -2.090
-1.948 -5.996 -5.695
-8.323 2.398 4.714
Rh As Np
9 6 3
Direct
0.219 0.438 0.392
0.500 0.000 0.500
0.618 0.237 0.200
0.781 0.562 0.608
0.959 0.917 0.672
0.382 0.763 0.800
0.681 0.363 0.962
0.319 0.637 0.038
0.041 0.083 0.328
0.805 0.610 0.871
0.363 0.725 0.543
0.457 0.914 0.219
0.637 0.275 0.457
0.195 0.390 0.129
0.543 0.086 0.781
0.000 0.000 0.000
0.159 0.319 0.700
0.841 0.681 0.300
```

Energy of formation from the pure elements   -0.583 eV/atom
Space-group type   C2/m (12)
Calculated volume   308 Å³/cell
Total moment   3.69 μB/f.u.

=====

19.
Below is a relaxed structure of NpAs2Rh2, with properties calculated at the PBE-GGA level.

```
NpAs2Rh2
1.0
4.225 0.000 0.000
0.000 4.225 0.000
0.000 0.000 10.108
Np As Rh
2 4 4
Direct
0.000 0.500 0.751
0.500 0.000 0.249
0.000 0.500 0.362
0.000 0.000 0.000
0.500 0.500 0.000
0.500 0.000 0.638
0.000 0.000 0.500
0.500 0.000 0.876
0.000 0.500 0.124
0.500 0.500 0.500
```

Energy of formation from the pure elements   -0.556 eV/atom
Space-group type   P4/nmm (129)
Calculated volume   180 Å³/cell
Total moment   3.81 μB/f.u.

=====

20.
Below is a relaxed structure of NpAs2Rh, with properties calculated at the PBE-GGA level.

```
NpAs2Rh
1.0
4.033 0.000 0.000
2.016 3.492 0.000
2.016 1.164 5.461
Np As Rh
1 2 1
Direct
0.500 0.500 0.500
0.266 0.266 0.202
0.734 0.734 0.798
0.000 0.000 0.000
```

Energy of formation from the pure elements   -0.584 eV/atom
Space-group type   R-3m (166)
Calculated volume   77 Å³/cell
Total moment   4.01 μB/f.u.